a | Ga2HgS after structural relaxation, computed with PBE.

Structure (extended XYZ):
```
4
Lattice="0.000 3.542 3.542 3.542 0.000 3.542 3.542 3.542 0.000" Properties=species:S:1:pos:R:3 pbc="T T T"
S 0.000 0.000 0.000
Hg 3.542 3.542 3.542
Ga 1.771 1.771 1.771
Ga 5.313 5.313 5.313
```

***

b | Ga2HgS after structural relaxation, computed with PBE.

Structure (extended XYZ):
```
4
Lattice="-0.668 3.575 0.683 -2.598 0.961 2.453 3.830 1.429 6.288" Properties=species:S:1:pos:R:3 pbc="T T T"
S 0.000 0.000 0.000
Hg 0.282 2.982 4.712
Ga 0.580 4.471 7.235
Ga -0.016 1.494 2.188
```

***

Of them, the most stable is b and the least stable is a.

***

a | GaHgS after structural relaxation, computed with PBE.

Structure (extended XYZ):
```
6
Lattice="-1.010 1.712 -3.055 5.022 -1.835 -2.689 -6.274 -3.979 -2.335" Properties=species:S:1:pos:R:3 pbc="T T T"
Ga -2.460 -1.168 -4.428
Ga -0.266 -4.397 -4.790
Hg -1.041 0.907 -3.734
Hg 1.749 -0.783 -3.427
S -2.089 -3.341 -3.595
S 0.375 -2.592 -6.164
```

***

b | GaHgS after structural relaxation, computed with PBE.

Structure (extended XYZ):
```
3
Lattice="-3.044 -1.796 -1.094 2.947 0.174 -2.230 2.000 -4.772 2.269" Properties=species:S:1:pos:R:3 pbc="T T T"
S 2.132 -3.304 -0.510
Hg 0.058 -0.139 0.066
Ga -0.288 -2.950 -0.612
```

***

Of them, the most stable is a and the least stable is b.

***

a | GaHgS after structural relaxation, computed with PBE.

Structure (extended XYZ):
```
6
Lattice="3.605 0.000 0.000 -1.803 3.121 0.000 0.000 0.000 14.270" Properties=species:S:1:pos:R:3 pbc="T T T"
Ga 1.803 0.346 4.523
Ga 1.803 0.346 9.747
Hg 1.803 0.354 0.000
Hg 1.803 0.344 7.135
S 0.000 1.385 10.857
S 0.000 1.385 3.413
```

***

b | GaHgS after structural relaxation, computed with PBE.

Structure (extended XYZ):
```
6
Lattice="-3.219 -1.065 5.823 0.937 -3.436 -0.110 -8.104 -1.287 28.808" Properties=species:S:1:pos:R:3 pbc="T T T"
Ga -1.210 -0.461 4.071
Ga -9.176 -5.327 30.450
S -6.484 -2.517 23.319
S -3.902 -3.271 11.202
Hg -5.314 -3.933 19.826
Hg -5.072 -1.855 14.695
```

***

Of them, the most stable is a and the least stable is b.

***

a | Ga2HgSb2 after structural relaxation, computed with PBE.

Structure (extended XYZ):
```
10
Lattice="-0.379 -2.745 8.217 2.120 -8.004 -2.576 3.215 0.726 0.391" Properties=species:S:1:pos:R:3 pbc="T T T"
Sb 2.934 -5.287 -0.228
Sb 3.155 -8.208 3.382
Sb 2.021 -4.737 6.259
Sb 1.801 -1.816 2.649
Hg 0.000 0.000 0.000
Hg 0.870 -5.375 2.820
Ga 1.680 -7.832 0.721
Ga 1.040 -7.503 5.377
Ga 0.061 -2.918 4.919
Ga 0.701 -3.246 0.263
```

***

b | Ga2HgSb2 after structural relaxation, computed with PBE.

Structure (extended XYZ):
```
5
Lattice="4.326 0.000 0.000 0.000 4.326 0.000 2.163 2.163 7.680" Properties=species:S:1:pos:R:3 pbc="T T T"
Sb 2.163 2.163 2.054
Sb 4.326 4.326 5.626
Hg 0.000 0.000 0.000
Ga 4.326 2.163 3.840
Ga 2.163 4.326 3.840
```

***

Of them, the most stable is b and the least stable is a.